Record 1
Crystalline ZrMo2W at its relaxed geometry, computed with PBE-GGA.

Cell: 2.850 4.501 5.423 Å, 90.00 99.53 90.00°
Fractional positions:
1 Zr 0.000 0.000 0.000
2 Mo 0.253 0.500 0.740
3 Mo 0.747 0.500 0.260
4 W 0.500 0.000 0.500

Computed properties:
D(E_F) = 0.993 states/eV/atom
relative energy among the computed polymorphs = 0.081 eV/atom
energy of formation from the pure elements = 0.052 eV per atom
magnetic moment = 0.000 μB/cell
DFT total energy = -42.95 eV/cell


Record 2
Crystalline Pm2GaSn3Rh4 at its relaxed geometry, computed with PBE-GGA.

Cell: 4.435 4.435 10.644 Å, 90.00 90.00 90.00°
Fractional positions:
1 Pm 0.000 0.500 0.247
2 Pm 0.500 0.000 0.753
3 Ga 0.500 0.500 0.000
4 Sn 0.000 0.000 0.000
5 Sn 0.000 0.500 0.633
6 Sn 0.500 0.000 0.367
7 Rh 0.000 0.000 0.500
8 Rh 0.000 0.500 0.874
9 Rh 0.500 0.000 0.126
10 Rh 0.500 0.500 0.500

Computed properties:
D(E_F) = 0.730 states/eV/atom
energy of formation from the pure elements = -0.717 eV per atom
magnetic moment = 0.000 μB/cell
DFT total energy = -61.11 eV/cell


Record 3
Crystalline Ti4Au2N at its relaxed geometry, computed with PBE-GGA.

Cell: 7.232 7.232 7.232 Å, 146.96 146.96 47.42°
Fractional positions:
1 Ti 0.000 0.500 0.500
2 Ti 0.164 0.164 0.000
3 Ti 0.500 0.000 0.500
4 Ti 0.836 0.836 0.000
5 Au 0.361 0.361 0.000
6 Au 0.639 0.639 0.000
7 N 0.000 0.000 0.000

Computed properties:
raw formation energy = -4.836 eV per formula unit
D(E_F) = 1.223 states/eV/atom
relative energy among the computed polymorphs = 0.023 eV/atom
magnetic moment = 0.000 μB/cell
DFT total energy = -51.30 eV/cell


Record 4
Crystalline TbErAl at its relaxed geometry, computed with PBE-GGA.

Cell: 5.053 5.053 3.547 Å, 90.00 90.00 120.00°
Fractional positions:
1 Tb 0.000 0.000 0.000
2 Er 0.333 0.667 0.441
3 Al 0.667 0.333 0.697

Computed properties:
D(E_F) = 0.621 states/eV/atom
relative energy among the computed polymorphs = 0.100 eV/atom
energy of formation from the pure elements = -0.153 eV per atom
magnetic moment = 0.000 μB/cell
DFT total energy = -13.40 eV/cell